Computed, not measured: an optimized crystal structure of RbFe3Te at the PBE level of DFT.

Geometry as POSCAR:
```
RbFe3Te
1.0
-2.3252 -0.4567 -4.3401
4.3236 -0.9092 -2.2207
-0.5929 -4.8391 0.8268
Te Fe Rb
1 3 1
Cartesian
0.0000 0.0000 0.0000
2.1618 -0.4546 -1.1104
-0.2964 -2.4195 0.4134
-1.1626 -0.2283 -2.1701
0.7027 -3.1024 -2.8670
```

Formation energy without anion corrections ... 5.4 eV per formula unit
Crystal system ... cubic
Electronic total energy ... -24.1 eV per formula unit
Calculated volume ... 120.91 Å³ per cell
SG ... No. 221

Computed, not measured: an optimized crystal structure of V12Ga5Fe3 at the PBE level of DFT.

Geometry as POSCAR:
```
V12Ga5Fe3
1.0
-6.7533 -7.6985 -6.5819
11.0920 0.9048 -4.9340
0.9565 -4.1672 11.3980
Fe Ga V
12 20 48
Cartesian
-0.7859 -5.9555 -5.3619
2.5294 -6.5785 -8.0349
6.3843 -4.8129 0.9551
0.0569 -3.3742 2.0121
-4.2835 -7.6649 -3.5264
4.6391 -3.3633 -2.7024
0.6560 -7.5977 2.5846
9.5787 -3.2960 3.4086
5.2383 -7.5867 -2.1298
-1.0891 -6.1481 -1.0729
2.7658 -4.3824 7.9171
6.0811 -5.0055 5.2441
3.5545 -1.6648 0.1765
5.5460 0.4524 -2.4670
0.0000 0.0000 0.0000
0.3601 -3.1817 -2.2769
-2.8984 -5.9329 2.4081
2.1694 -3.3969 -5.7579
7.8335 -1.8464 -0.2489
-2.8416 -9.3071 4.4201
2.2262 -6.7711 -3.7459
-0.4286 -5.8992 5.4636
5.7238 -5.0617 -5.5814
2.6476 -5.4805 -0.0589
-3.3767 -3.8493 -3.2909
0.4782 -2.0836 5.6990
3.0690 -4.1898 3.6281
8.1368 -1.6539 -4.5379
6.0243 -1.6312 3.2320
-2.5383 -9.1145 0.1311
4.9351 -7.7793 2.1591
1.7407 -9.2961 -0.2943
-3.3670 -5.9534 -4.6404
4.6086 -3.9304 -0.0833
-1.9725 -7.7907 -4.8775
-1.0994 -4.8710 -3.4290
4.8226 -6.7114 -0.1121
0.1592 -7.2110 -6.9559
6.4660 -3.5922 -1.4294
9.7050 -0.2276 -3.1896
7.0190 -6.2180 -0.6676
1.8033 -5.8529 -6.0458
-0.1506 -6.9313 -2.9480
4.8565 -5.9659 -9.2147
7.8541 -2.8579 2.0506
2.5849 -2.7782 -3.3719
10.1016 -1.4232 -1.2430
-0.5747 -5.2606 3.0382
1.3199 -1.6588 1.3247
4.5696 -2.8444 -5.3308
4.5326 -6.7193 -7.0459
3.5086 -0.9779 -2.2396
8.4639 -5.0734 1.7411
3.7376 -5.3733 -2.3059
3.5146 -8.9270 -3.6837
-0.4729 -9.2517 3.5847
1.5576 -5.5876 2.1881
1.7806 -2.0340 3.5659
5.7681 -1.7093 -3.7025
0.7626 -4.2417 6.9281
-3.1687 -5.8876 -1.8589
1.7866 -9.9830 2.1218
0.7256 -8.1166 5.2130
5.8699 -5.7003 -3.1560
3.9753 -9.3021 -1.4425
-4.8064 -9.5378 1.1252
-2.5589 -8.1031 -2.1684
0.4387 -4.9951 9.0969
2.7103 -8.1828 3.2541
-1.7238 -4.7430 0.5498
3.4919 -5.1081 5.9280
5.4458 -4.0297 2.8303
-4.4098 -10.7333 3.0718
-1.1708 -7.3687 1.3116
6.3946 -6.0899 3.3112
5.1360 -3.7500 6.8381
0.4726 -4.2495 -0.0057
7.2677 -3.1703 4.7597
0.6866 -7.0306 -0.0345
8.6622 -5.0075 4.5226
```

Formation energy from the elements ... 1471 kJ/mol of formula units
Crystal system ... cubic
Electronic total energy ... -134.7 eV per formula unit
Calculated volume ... 1388.77 Å³ per cell
SG ... No. 230

Computed, not measured: an optimized crystal structure of FeAgOs at the PBE level of DFT.

Geometry as POSCAR:
```
FeAgOs
1.0
7.2613 -0.0007 0.0005
6.5659 2.5804 0.0273
0.6954 -0.9828 2.3868
Ag Fe Os
1 1 1
Cartesian
0.7628 -0.9645 2.3747
9.5437 1.4177 0.7972
4.9114 0.1610 1.6294
```

Formation energy from the elements ... 142 kJ/mol of formula units
Crystal system ... orthorhombic
Electronic total energy ... -21.1 eV per formula unit
Calculated volume ... 44.92 Å³ per cell
SG ... No. 42

Computed, not measured: an optimized crystal structure of Y2ZnCd3 at the PBE level of DFT.

Geometry as POSCAR:
```
Y2ZnCd3
1.0
4.6903 0.0000 -1.2485
-0.2615 3.4574 -0.9826
-0.1143 0.6724 9.0052
Y Zn Cd
2 1 3
Cartesian
0.4910 0.5613 1.8445
3.9933 1.8844 5.5677
1.7185 3.8430 6.4561
3.1075 2.7498 2.2397
2.4192 1.9629 -0.3459
1.0831 3.1165 4.0690
```

Formation energy from the elements ... -124 kJ/mol of formula units
Crystal system ... orthorhombic
Electronic total energy ... -18.2 eV per formula unit
Calculated volume ... 148.85 Å³ per cell
SG ... No. 44

Computed, not measured: an optimized crystal structure of SrTbCuGe at the PBE level of DFT.

Geometry as POSCAR:
```
SrTbCuGe
1.0
5.1719 0.0000 0.0000
2.5859 4.4790 0.0000
2.5859 1.4930 4.2228
Sr Ge Tb Cu
1 1 1 1
Cartesian
5.1719 2.9860 2.1114
2.5859 1.4930 1.0557
0.0000 0.0000 0.0000
7.7578 4.4790 3.1671
```

Formation energy from the elements ... -135 kJ/mol of formula units
Crystal system ... cubic
Electronic total energy ... -16.4 eV per formula unit
Calculated volume ... 97.82 Å³ per cell
SG ... No. 216

Computed, not measured: an optimized crystal structure of Y3Er2Tm3 at the PBE level of DFT.

Geometry as POSCAR:
```
Y3Er2Tm3
1.0
-1.3737 0.2482 5.4791
4.4106 -3.8386 1.2797
3.1414 7.5017 -2.4697
Y Er Tm
3 2 3
Cartesian
2.4857 4.5465 3.3346
3.6926 -0.6352 0.9546
0.0000 0.0000 0.0000
3.5487 1.3122 3.7477
2.6296 2.5991 0.5415
5.8862 2.0759 1.3817
1.5184 -1.7952 3.3794
0.2921 1.8354 2.9075
```

Formation energy from the elements ... 80 kJ/mol of formula units
Crystal system ... monoclinic
Electronic total energy ... -41.1 eV per formula unit
Calculated volume ... 251.23 Å³ per cell
SG ... No. 12

Computed, not measured: an optimized crystal structure of SiSe at the PBE level of DFT.

Geometry as POSCAR:
```
SiSe
1.0
-1.3698 -4.6934 -2.9956
0.5367 -2.7068 -5.0263
5.6331 -5.8734 -0.4575
Si Se
3 3
Cartesian
-0.3147 -7.3084 -7.4453
2.4065 -3.7380 -1.3977
1.6335 -8.6004 -6.8803
4.6025 -9.6036 -5.0744
0.4923 -2.4842 -1.9681
2.6243 -6.3829 -3.7807
```

Formation energy without anion corrections ... 0.0 eV per formula unit
Crystal system ... monoclinic
Electronic total energy ... -8.9 eV per formula unit
Calculated volume ... 134.24 Å³ per cell
SG ... No. 8

Computed, not measured: an optimized crystal structure of NaTlC at the PBE level of DFT.

Geometry as POSCAR:
```
NaTlC
1.0
2.3361 0.0000 7.9612
-1.1681 2.0232 7.9612
-1.1681 -2.0232 7.9612
Na Tl C
2 2 2
Cartesian
0.0000 0.0000 15.0114
0.0000 0.0000 8.8723
0.0000 0.0000 21.0746
0.0000 0.0000 2.8091
0.0000 0.0000 18.0631
0.0000 0.0000 5.8206
```

Formation energy from the elements ... 327 kJ/mol of formula units
Crystal system ... trigonal
Electronic total energy ... -9.5 eV per formula unit
Calculated volume ... 112.88 Å³ per cell
SG ... No. 166